Compound: SrAlPd
Source: Alexandria via LeMat-Bulk
Functional: GGA-PBE
Structure: relaxed

As for the space-group type: No. 107. The spin magnetization comes out at 0.00 μB/cell. The calculated total energy comes out at -4.047 eV per atom. For the energy relative to the elements, the calculation gives -0.508 eV/atom. The calculation puts the density of states at the Fermi level at 1.95 states/eV/cell.

```
SrAlPd
1.0
-1.730 1.730 5.717
1.730 -1.730 5.717
1.730 1.730 -5.717
Sr Al Pd
1 1 1
direct
0.000 0.000 0.000
0.286 0.286 0.000
0.705 0.705 0.000
```